Record 1
LaTePt2: PBEsol geometry, meta-GGA SCAN.

The structure in POSCAR format:
```
LaTePt2
1.0
4.427 0.000 0.000
0.000 4.427 0.000
0.000 0.000 4.294
La Te Pt
1 1 2
Cartesian
0.000 0.000 0.000
2.214 2.214 0.000
0.000 2.214 2.147
2.214 0.000 2.147
```

**Formation energy from raw total energies**: -699 meV/atom

***

Record 2
La2TePt: PBEsol geometry, meta-GGA SCAN.

The structure in POSCAR format:
```
La2TePt
1.0
3.958 0.000 0.000
0.000 4.741 0.000
0.000 0.000 11.007
La Te Pt
4 2 2
Cartesian
0.000 0.000 0.000
0.000 2.370 2.470
1.979 0.000 7.973
1.979 2.370 5.504
0.000 0.000 4.791
1.979 2.370 10.295
0.000 2.370 7.929
1.979 0.000 2.425
```

**Formation energy from raw total energies**: -1227 meV/atom

***

Record 3
LaTePt2: PBEsol geometry, meta-GGA SCAN.

The structure in POSCAR format:
```
LaTePt2
1.0
4.530 0.000 0.000
-2.265 3.923 0.000
0.000 0.000 15.049
La Te Pt
3 3 6
Cartesian
0.000 0.000 0.000
0.000 2.615 10.033
2.265 1.308 5.016
0.000 0.000 7.525
0.000 2.615 2.508
2.265 1.308 12.541
0.000 0.000 3.289
0.000 0.000 11.760
0.000 2.615 6.744
0.000 2.615 13.322
2.265 1.308 1.727
2.265 1.308 8.306
```

**Formation energy from raw total energies**: -953 meV/atom

***

Record 4
LaTePt2: PBEsol geometry, meta-GGA SCAN.

The structure in POSCAR format:
```
LaTePt2
1.0
3.819 0.000 0.000
0.000 3.819 0.000
0.000 0.000 5.947
La Te Pt
1 1 2
Cartesian
0.000 0.000 0.000
0.000 0.000 2.974
1.910 1.910 1.544
1.910 1.910 4.403
```

**Formation energy from raw total energies**: -693 meV/atom

***

Record 5
La2TePt: PBEsol geometry, meta-GGA SCAN.

The structure in POSCAR format:
```
La2TePt
1.0
7.420 0.000 0.000
0.000 7.429 0.000
0.000 0.000 3.796
La Te Pt
4 2 2
Cartesian
1.855 1.857 0.000
1.855 5.572 0.000
5.565 1.857 0.000
5.565 5.572 0.000
0.000 0.000 1.898
3.710 3.715 1.898
0.000 3.715 1.898
3.710 0.000 1.898
```

**Formation energy from raw total energies**: -1238 meV/atom

***

Record 6
LaTi3Pt: PBEsol geometry, meta-GGA SCAN.

The structure in POSCAR format:
```
LaTi3Pt
1.0
4.627 0.000 0.000
0.000 4.627 0.000
0.000 0.000 4.627
La Ti Pt
1 3 1
Cartesian
0.000 0.000 0.000
0.000 0.000 2.313
0.000 2.313 0.000
2.313 0.000 0.000
2.313 2.313 2.313
```

**ΔE_f**: 1235.2 meV per atom

***

Record 7
LaTlPt4: PBEsol geometry, meta-GGA SCAN.

The structure in POSCAR format:
```
LaTlPt4
1.0
0.000 3.829 3.829
3.829 0.000 3.829
3.829 3.829 0.000
La Tl Pt
1 1 4
Cartesian
0.000 0.000 0.000
5.743 5.743 5.743
2.876 2.876 2.876
4.782 4.782 2.876
4.782 2.876 4.782
2.876 4.782 4.782
```

**ΔE_f**: -853.5 meV per atom

***

Record 8
LaTlPt: PBEsol geometry, meta-GGA SCAN.

The structure in POSCAR format:
```
LaTlPt
1.0
4.771 0.000 0.000
-2.385 4.132 0.000
0.000 0.000 3.640
La Tl Pt
1 1 1
Cartesian
0.000 0.000 0.000
2.385 1.377 1.820
0.000 2.755 1.820
```

**ΔE_f**: -857.5 meV per atom

***

The calculation returns the following total moment values, one per record and in order: 0.0; 0.0; 0.0; 0.0; 0.0; 0.0; 0.0; 0.0 Bohr magnetons per cell.